No. 1
The following is a DFT calculation (PBE) of an optimized crystal structure of LaAgPS2.

The structure in extended XYZ format:
```
5
Lattice="4.865 0.000 0.000 0.000 4.865 0.000 0.000 0.000 4.760" Properties=species:S:1:pos:R:3 pbc="T T T"
Ag 0.000 0.000 0.000
S 2.433 0.000 0.000
S 0.000 2.433 0.000
La 2.433 2.433 2.380
P 0.000 0.000 2.380
```

Summary:
Density of states at the Fermi level (states/eV/atom): 0.83
Crystal system: tetragonal
Excess energy over the best structure of this formula in the dataset (meV per atom): 0.0
Space group: No. 123
Uncorrected energy (eV/cell): -23.273

---

No. 2
The following is a DFT calculation (PBE) of an optimized crystal structure of PrCdPd2.

The structure in extended XYZ format:
```
4
Lattice="-0.155 1.804 3.023 -0.943 -2.937 1.705 6.471 -1.399 1.168" Properties=species:S:1:pos:R:3 pbc="T T T"
Cd -0.549 -0.566 2.364
Pd 5.049 -1.092 0.911
Pd 1.423 -0.308 0.257
Pr 2.687 -1.266 2.948
```

Summary:
E_form (eV per atom): -0.555
Density of states at the Fermi level (states/eV/atom): 0.51
Crystal system: tetragonal
Space group: No. 123
Uncorrected energy (eV/cell): -18.300

---

Question: Look up the uncorrected energy of the second one.
Answer: -18.300 eV/cell

---

Question: What is the density of states at the Fermi level in the first record?
Answer: 0.83 states/eV/atom